## a
Compound: MoW
Source: Alexandria via LeMat-Bulk
Functional: PBE
Structure: relaxed

Cell and atoms, written as CIF:
```
data_MoW
_chemical_formula_sum 'Mo2 W2'
_cell_length_a 4.0063
_cell_length_b 4.0063
_cell_length_c 5.3375
_cell_angle_alpha 90.00
_cell_angle_beta 90.00
_cell_angle_gamma 120.00
_symmetry_space_group_name_H-M 'P 63/m m c'
_symmetry_Int_Tables_number 194
_symmetry_space_group_name_Hall '-P 6c 2c'
loop_
_atom_site_label
_atom_site_type_symbol
_atom_site_fract_x
_atom_site_fract_y
_atom_site_fract_z
Mo1 Mo 0.0000 0.0000 0.0000
W1 W 0.3333 0.6667 0.2500
```

## b
Compound: MoW
Source: Alexandria via LeMat-Bulk
Functional: PBE
Structure: relaxed

Cell and atoms, written as CIF:
```
data_MoW
_chemical_formula_sum 'Mo6 W6'
_cell_length_a 3.0071
_cell_length_b 3.0071
_cell_length_c 25.1781
_cell_angle_alpha 90.00
_cell_angle_beta 90.00
_cell_angle_gamma 120.00
_symmetry_space_group_name_H-M 'R -3 m'
_symmetry_Int_Tables_number 166
_symmetry_space_group_name_Hall '-R 3 2"'
loop_
_atom_site_label
_atom_site_type_symbol
_atom_site_fract_x
_atom_site_fract_y
_atom_site_fract_z
Mo1 Mo 0.0000 0.0000 0.1253
W1 W 0.0000 0.0000 0.3753
```

In terms of stability, b leads; the second structure lies 71.2 kJ/mol of atoms higher.

## a
Compound: MoW2
Source: Alexandria via LeMat-Bulk
Functional: PBE
Structure: relaxed

Cell and atoms, written as CIF:
```
data_MoW2
_chemical_formula_sum 'Mo4 W8'
_cell_length_a 6.113
_cell_length_b 6.113
_cell_length_c 6.113
_cell_angle_alpha 90.00
_cell_angle_beta 90.00
_cell_angle_gamma 90.00
_symmetry_space_group_name_H-M 'P a -3'
_symmetry_Int_Tables_number 205
_symmetry_space_group_name_Hall '-P 2ac 2ab 3'
loop_
_atom_site_label
_atom_site_type_symbol
_atom_site_fract_x
_atom_site_fract_y
_atom_site_fract_z
Mo1 Mo 0.000 0.000 0.000
W1 W 0.127 0.627 0.873
```

## b
Compound: MoW2
Source: Alexandria via LeMat-Bulk
Functional: PBE
Structure: relaxed

Cell and atoms, written as CIF:
```
data_MoW2
_chemical_formula_sum 'Mo1 W2'
_cell_length_a 4.254
_cell_length_b 4.254
_cell_length_c 3.129
_cell_angle_alpha 90.00
_cell_angle_beta 90.00
_cell_angle_gamma 90.00
_symmetry_space_group_name_H-M 'P 4/m m m'
_symmetry_Int_Tables_number 123
_symmetry_space_group_name_Hall '-P 4 2'
loop_
_atom_site_label
_atom_site_type_symbol
_atom_site_fract_x
_atom_site_fract_y
_atom_site_fract_z
Mo1 Mo 0.000 0.000 0.000
W1 W 0.000 0.500 0.500
```

## c
Compound: MoW2
Source: Alexandria via LeMat-Bulk
Functional: PBE
Structure: relaxed

Cell and atoms, written as CIF:
```
data_MoW2
_chemical_formula_sum 'Mo4 W8'
_cell_length_a 10.093
_cell_length_b 3.172
_cell_length_c 6.338
_cell_angle_alpha 90.00
_cell_angle_beta 108.42
_cell_angle_gamma 90.00
_symmetry_space_group_name_H-M 'C 1 2/m 1'
_symmetry_Int_Tables_number 12
_symmetry_space_group_name_Hall '-C 2y'
loop_
_atom_site_label
_atom_site_type_symbol
_atom_site_fract_x
_atom_site_fract_y
_atom_site_fract_z
Mo1 Mo 0.166 0.000 0.083
W1 W 0.000 0.500 0.250
W2 W 0.166 0.000 0.583
```

In terms of stability, c leads; the second structure lies 107.6 kJ/mol of atoms higher.